(1)
A plane-wave DFT calculation with PBE was carried out for crystalline ZrTl2SiTc at its relaxed geometry.

Total moment   0.92 μB/f.u.
Formation energy from raw total energies   17.38 kcal/mol of atoms
Energy   -5.06 eV per atom

a = 5.2596 Å, b = 5.2596 Å, c = 4.5026 Å
α = 90.00°, β = 90.00°, γ = 90.00°
Last column: nearest neighbours and their distance in Å.
Element x y z (fractional)
Zr 0.0000 0.0000 0.0000  8 Tl 3.46, 4 Si 3.72
Tl 0.0000 0.5000 0.5000  2 Tc 2.63
Tl 0.5000 0.0000 0.5000  2 Tc 2.63
Si 0.5000 0.5000 0.0000  2 Tc 2.25
Tc 0.5000 0.5000 0.5000  2 Si 2.25

***

(2)
A plane-wave DFT calculation with PBE was carried out for crystalline TmSiTc at its relaxed geometry.

Excess energy over the best structure of this formula in the dataset   173 meV/atom
Total moment   0.00 μB/f.u.
Formation energy from raw total energies   -11.00 kcal/mol of atoms
Energy   -7.23 eV per atom

a = 4.2071 Å, b = 4.2071 Å, c = 3.6633 Å
α = 90.00°, β = 90.00°, γ = 120.00°
Last column: nearest neighbours and their distance in Å.
Element x y z (fractional)
Tm 0.0000 0.0000 0.0000  6 Si 3.04, 6 Tc 3.04
Si 0.3333 0.6667 0.5000  3 Tc 2.43
Tc 0.6667 0.3333 0.5000  3 Si 2.43

***

(3)
A plane-wave DFT calculation with PBE was carried out for crystalline TmSiTc at its relaxed geometry.

Excess energy over the best structure of this formula in the dataset   0 meV/atom
Total moment   0.00 μB/f.u.
Formation energy from raw total energies   -14.98 kcal/mol of atoms
Energy   -7.40 eV per atom

a = 7.1791 Å, b = 3.5894 Å, c = 12.3890 Å
α = 90.00°, β = 90.35°, γ = 90.00°
Last column: nearest neighbours and their distance in Å.
Element x y z (fractional)
Tm 0.0337 0.2500 0.1204  5 Si 2.81-3.03, 4 Tc 3.05-3.14
Tm 0.1420 0.2500 0.4142  5 Si 2.82-2.93, 4 Tc 3.04-3.06
Tm 0.4627 0.7500 0.7813  5 Si 2.79-2.83, 6 Tc 3.06-3.09
Tm 0.5373 0.2500 0.2187  5 Si 2.79-2.83, 6 Tc 3.06-3.09
Tm 0.8580 0.7500 0.5858  5 Si 2.82-2.93, 4 Tc 3.04-3.06
Tm 0.9663 0.7500 0.8796  5 Si 2.81-3.03, 4 Tc 3.05-3.14
Si 0.2387 0.7500 0.2484  3 Tc 2.70-2.75, 6 Tm 2.81-2.82
Si 0.2663 0.7500 0.5865  5 Tc 2.52-2.62, 1 Tm 2.79
Si 0.2745 0.2500 0.9200  3 Tc 2.45-2.61
Si 0.7255 0.7500 0.0800  3 Tc 2.45-2.61
Si 0.7337 0.2500 0.4135  5 Tc 2.52-2.62, 1 Tm 2.79
Si 0.7613 0.2500 0.7516  3 Tc 2.70-2.75, 6 Tm 2.81-2.82
Tc 0.1353 0.2500 0.7067  4 Si 2.52-2.82
Tc 0.3667 0.7500 0.0440  4 Si 2.45-2.70
Tc 0.4830 0.7500 0.4169  4 Si 2.54-2.72, 2 Tc 2.74
Tc 0.5170 0.2500 0.5831  4 Si 2.54-2.72, 2 Tc 2.74
Tc 0.6333 0.2500 0.9560  4 Si 2.45-2.70
Tc 0.8647 0.7500 0.2933  4 Si 2.52-2.82

***

(4)
A plane-wave DFT calculation with PBE was carried out for crystalline TmSi4Tc4 at its relaxed geometry.

Total moment   0.00 μB/f.u.
Formation energy from raw total energies   -10.77 kcal/mol of atoms
Energy   -7.98 eV per atom

a = 8.0214 Å, b = 8.0214 Å, c = 4.7160 Å
α = 90.00°, β = 90.00°, γ = 90.00°
Last column: nearest neighbours and their distance in Å.
Element x y z (fractional)
Tm 0.2500 0.2500 0.2500  8 Si 3.13-3.43, 4 Tc 3.16
Tm 0.7500 0.7500 0.7500  8 Si 3.13-3.43, 4 Tc 3.16
Si 0.0632 0.9115 0.1626  1 Si 2.32, 5 Tc 2.39-2.49
Si 0.0885 0.5632 0.6626  1 Si 2.32, 5 Tc 2.39-2.49
Si 0.4115 0.9368 0.6626  1 Si 2.32, 5 Tc 2.39-2.49
Si 0.4368 0.5885 0.1626  1 Si 2.32, 5 Tc 2.39-2.49
Si 0.5632 0.4115 0.8374  1 Si 2.32, 5 Tc 2.39-2.49
Si 0.5885 0.0632 0.3374  1 Si 2.32, 5 Tc 2.39-2.49
Si 0.9115 0.4368 0.3374  1 Si 2.32, 5 Tc 2.39-2.49
Si 0.9368 0.0885 0.8374  1 Si 2.32, 5 Tc 2.39-2.49
Tc 0.1204 0.8722 0.6556  5 Si 2.39-2.49
Tc 0.1278 0.6204 0.1556  5 Si 2.39-2.49
Tc 0.3722 0.8796 0.1556  5 Si 2.39-2.49
Tc 0.3796 0.6278 0.6556  5 Si 2.39-2.49
Tc 0.6204 0.3722 0.3444  5 Si 2.39-2.49
Tc 0.6278 0.1204 0.8444  5 Si 2.39-2.49
Tc 0.8722 0.3796 0.8444  5 Si 2.39-2.49
Tc 0.8796 0.1278 0.3444  5 Si 2.39-2.49

***

(5)
A plane-wave DFT calculation with PBE was carried out for crystalline Tm3Si3Tc at its relaxed geometry.

Total moment   0.00 μB/f.u.
Formation energy from raw total energies   -17.83 kcal/mol of atoms
Energy   -6.49 eV per atom

a = 5.6719 Å, b = 5.6719 Å, c = 13.5107 Å
α = 109.08°, β = 109.08°, γ = 42.97°
Last column: nearest neighbours and their distance in Å.
Element x y z (fractional)
Tm 0.0196 0.0196 0.3748  6 Si 2.89-3.06, 4 Tc 3.06-3.11
Tm 0.1046 0.1046 0.9209  7 Si 2.91-3.10
Tm 0.2438 0.2438 0.2290  6 Si 2.90-3.19, 2 Tc 3.21
Tm 0.7562 0.7562 0.7710  6 Si 2.90-3.19, 2 Tc 3.21
Tm 0.8954 0.8954 0.0791  7 Si 2.91-3.10
Tm 0.9804 0.9804 0.6252  6 Si 2.89-3.06, 4 Tc 3.06-3.11
Si 0.3684 0.3684 0.4579  3 Tc 2.42-2.47, 1 Si 2.61
Si 0.3894 0.3894 0.9264  2 Si 2.48-2.49
Si 0.4517 0.4517 0.7650  1 Si 2.49, 1 Tc 2.54
Si 0.5483 0.5483 0.2350  1 Si 2.49, 1 Tc 2.54
Si 0.6106 0.6106 0.0736  2 Si 2.48-2.49
Si 0.6316 0.6316 0.5421  3 Tc 2.42-2.47, 1 Si 2.61
Tc 0.2556 0.2556 0.5897  4 Si 2.42-2.54
Tc 0.7444 0.7444 0.4103  4 Si 2.42-2.54

***

(6)
A plane-wave DFT calculation with PBE was carried out for crystalline Tm2SiTc3 at its relaxed geometry.

Total moment   0.00 μB/f.u.
Formation energy from raw total energies   -10.29 kcal/mol of atoms
Energy   -8.02 eV per atom

a = 5.2952 Å, b = 5.2952 Å, c = 5.2952 Å
α = 60.35°, β = 60.35°, γ = 60.35°
Last column: nearest neighbours and their distance in Å.
Element x y z (fractional)
Tm 0.1233 0.1233 0.1233  9 Tc 3.10-3.12, 3 Si 3.12, 4 Tm 3.19-3.27
Tm 0.8767 0.8767 0.8767  9 Tc 3.10-3.12, 3 Si 3.12, 4 Tm 3.19-3.27
Si 0.5000 0.5000 0.5000  6 Tc 2.65
Tc 0.0000 0.5000 0.5000  2 Si 2.65, 4 Tc 2.66
Tc 0.5000 0.0000 0.5000  2 Si 2.65, 4 Tc 2.66
Tc 0.5000 0.5000 0.0000  2 Si 2.65, 4 Tc 2.66

***

(7)
A plane-wave DFT calculation with PBE was carried out for crystalline Tm2Si5Tc3 at its relaxed geometry.

Total moment   0.00 μB/f.u.
Formation energy from raw total energies   -15.56 kcal/mol of atoms
Energy   -7.39 eV per atom

a = 8.3449 Å, b = 8.3449 Å, c = 8.3449 Å
α = 109.70°, β = 83.22°, γ = 141.35°
Last column: nearest neighbours and their distance in Å.
Element x y z (fractional)
Tm 0.1346 0.2381 0.3727  7 Si 2.91-3.16, 4 Tc 3.10-3.19
Tm 0.3654 0.7381 0.1035  7 Si 2.91-3.16, 4 Tc 3.10-3.19
Tm 0.6346 0.2619 0.8965  7 Si 2.91-3.16, 4 Tc 3.10-3.19
Tm 0.8654 0.7619 0.6273  7 Si 2.91-3.16, 4 Tc 3.10-3.19
Si 0.0454 0.7500 0.2954  3 Tc 2.42-2.55, 2 Si 2.59
Si 0.0975 0.6802 0.7777  3 Tc 2.36-2.53, 2 Si 2.59
Si 0.2500 0.2500 0.0000  4 Tc 2.46
Si 0.4025 0.1802 0.5828  3 Tc 2.36-2.53, 2 Si 2.59
Si 0.4546 0.7500 0.7046  3 Tc 2.42-2.55, 2 Si 2.59
Si 0.5454 0.2500 0.2954  3 Tc 2.42-2.55, 2 Si 2.59
Si 0.5975 0.8198 0.4172  3 Tc 2.36-2.53, 2 Si 2.59
Si 0.7500 0.7500 0.0000  4 Tc 2.46
Si 0.9025 0.3198 0.2223  3 Tc 2.36-2.53, 2 Si 2.59
Si 0.9546 0.2500 0.7046  3 Tc 2.42-2.55, 2 Si 2.59
Tc 0.1498 0.9161 0.0659  5 Si 2.36-2.46
Tc 0.2500 0.7500 0.5000  6 Si 2.53-2.55, 2 Tc 2.76
Tc 0.3502 0.4161 0.7663  5 Si 2.36-2.46
Tc 0.6498 0.5839 0.2337  5 Si 2.36-2.46
Tc 0.7500 0.2500 0.5000  6 Si 2.53-2.55, 2 Tc 2.76
Tc 0.8502 0.0839 0.9341  5 Si 2.36-2.46

***

(8)
A plane-wave DFT calculation with PBE was carried out for crystalline TmSi2Tc3 at its relaxed geometry.

Total moment   0.00 μB/f.u.
Formation energy from raw total energies   -11.23 kcal/mol of atoms
Energy   -8.22 eV per atom

a = 8.2637 Å, b = 8.2637 Å, c = 9.4120 Å
α = 104.81°, β = 104.81°, γ = 28.76°
Last column: nearest neighbours and their distance in Å.
Element x y z (fractional)
Tm 0.0000 0.0000 0.0000  6 Si 3.02-3.15, 6 Tc 3.17-3.32
Tm 0.1605 0.1605 0.7235  6 Si 2.99-3.06, 4 Tc 3.07-3.25
Tm 0.8395 0.8395 0.2765  6 Si 2.99-3.06, 4 Tc 3.07-3.25
Si 0.2029 0.2029 0.1265  6 Tc 2.40-2.67
Si 0.3497 0.3497 0.5117  5 Tc 2.38-2.50
Si 0.4629 0.4629 0.2101  5 Tc 2.48-2.63
Si 0.5371 0.5371 0.7899  5 Tc 2.48-2.63
Si 0.6503 0.6503 0.4883  5 Tc 2.38-2.50
Si 0.7971 0.7971 0.8735  6 Tc 2.40-2.67
Tc 0.0381 0.0381 0.3640  3 Tc 2.55-2.58, 4 Si 2.61-2.77
Tc 0.2000 0.2000 0.3847  4 Si 2.38-2.49, 1 Tc 2.55
Tc 0.3264 0.3264 0.0105  4 Si 2.40-2.50, 1 Tc 2.46
Tc 0.3776 0.3776 0.7860  3 Tc 2.46-2.70, 4 Si 2.50-2.67
Tc 0.5000 0.5000 0.5000  4 Si 2.44-2.63, 4 Tc 2.58
Tc 0.6224 0.6224 0.2140  3 Tc 2.46-2.70, 4 Si 2.50-2.67
Tc 0.6736 0.6736 0.9895  4 Si 2.40-2.50, 1 Tc 2.46
Tc 0.8000 0.8000 0.6153  4 Si 2.38-2.49, 1 Tc 2.55
Tc 0.9619 0.9619 0.6360  3 Tc 2.55-2.58, 4 Si 2.61-2.77

***

(9)
A plane-wave DFT calculation with PBE was carried out for crystalline TmSi2Tc4 at its relaxed geometry.

Total moment   0.00 μB/f.u.
Formation energy from raw total energies   -11.74 kcal/mol of atoms
Energy   -8.62 eV per atom

a = 7.1609 Å, b = 7.1609 Å, c = 4.0662 Å
α = 90.00°, β = 90.00°, γ = 146.74°
Last column: nearest neighbours and their distance in Å.
Element x y z (fractional)
Tm 0.0000 0.0000 0.0000  8 Si 3.12, 8 Tc 3.28-3.36
Si 0.4128 0.5872 0.5000  1 Si 2.39, 4 Tc 2.47-2.51
Si 0.5872 0.4128 0.5000  1 Si 2.39, 4 Tc 2.47-2.51
Tc 0.1878 0.8122 0.5000  2 Si 2.47, 4 Tc 2.60-2.67
Tc 0.3057 0.6943 0.0000  2 Si 2.51, 4 Tc 2.56-2.60
Tc 0.6943 0.3057 0.0000  2 Si 2.51, 4 Tc 2.56-2.60
Tc 0.8122 0.1878 0.5000  2 Si 2.47, 4 Tc 2.60-2.67

***

(10)
A plane-wave DFT calculation with PBE was carried out for crystalline TmSiTc at its relaxed geometry.

Excess energy over the best structure of this formula in the dataset   358 meV/atom
Total moment   0.00 μB/f.u.
Formation energy from raw total energies   -6.73 kcal/mol of atoms
Energy   -7.05 eV per atom

a = 6.2949 Å, b = 3.3408 Å, c = 10.5875 Å
α = 90.00°, β = 90.00°, γ = 90.00°
Last column: nearest neighbours and their distance in Å.
Element x y z (fractional)
Tm 0.2344 0.2500 0.2006  4 Si 2.90-3.07, 4 Tc 2.94-3.18
Tm 0.2656 0.7500 0.7006  4 Si 2.90-3.07, 4 Tc 2.94-3.18
Tm 0.7344 0.2500 0.2994  4 Si 2.90-3.07, 4 Tc 2.94-3.18
Tm 0.7656 0.7500 0.7994  4 Si 2.90-3.07, 4 Tc 2.94-3.18
Si 0.0537 0.7500 0.4183  3 Tc 2.46-2.63, 2 Si 2.50
Si 0.4463 0.2500 0.9183  3 Tc 2.46-2.63, 2 Si 2.50
Si 0.5537 0.7500 0.0817  3 Tc 2.46-2.63, 2 Si 2.50
Si 0.9463 0.2500 0.5817  3 Tc 2.46-2.63, 2 Si 2.50
Tc 0.1755 0.7500 0.9752  3 Si 2.46-2.63
Tc 0.3245 0.2500 0.4752  3 Si 2.46-2.63
Tc 0.6755 0.7500 0.5248  3 Si 2.46-2.63
Tc 0.8245 0.2500 0.0248  3 Si 2.46-2.63

***

(11)
A plane-wave DFT calculation with PBE was carried out for crystalline TmSi2Tc at its relaxed geometry.

Excess energy over the best structure of this formula in the dataset   0 meV/atom
Total moment   0.00 μB/f.u.
Formation energy from raw total energies   -15.66 kcal/mol of atoms
Energy   -7.10 eV per atom

a = 7.1394 Å, b = 3.8918 Å, c = 9.9828 Å
α = 90.00°, β = 90.00°, γ = 90.00°
Last column: nearest neighbours and their distance in Å.
Element x y z (fractional)
Tm 0.1462 0.2500 0.1285  9 Si 2.93-3.14, 2 Tc 3.28
Tm 0.3538 0.7500 0.6285  9 Si 2.93-3.14, 2 Tc 3.28
Tm 0.6462 0.2500 0.3715  9 Si 2.93-3.14, 2 Tc 3.28
Tm 0.8538 0.7500 0.8715  9 Si 2.93-3.14, 2 Tc 3.28
Si 0.1509 0.2500 0.8144  2 Tc 2.39-2.51, 2 Si 2.45
Si 0.2159 0.2500 0.4300  3 Tc 2.41-2.45, 2 Si 2.45
Si 0.2841 0.7500 0.9300  3 Tc 2.41-2.45, 2 Si 2.45
Si 0.3491 0.7500 0.3144  2 Tc 2.39-2.51, 2 Si 2.45
Si 0.6509 0.2500 0.6856  2 Tc 2.39-2.51, 2 Si 2.45
Si 0.7159 0.2500 0.0700  3 Tc 2.41-2.45, 2 Si 2.45
Si 0.7841 0.7500 0.5700  3 Tc 2.41-2.45, 2 Si 2.45
Si 0.8491 0.7500 0.1856  2 Tc 2.39-2.51, 2 Si 2.45
Tc 0.0147 0.7500 0.3931  5 Si 2.39-2.51
Tc 0.4853 0.2500 0.8931  5 Si 2.39-2.51
Tc 0.5147 0.7500 0.1069  5 Si 2.39-2.51
Tc 0.9853 0.2500 0.6069  5 Si 2.39-2.51

***

(12)
A plane-wave DFT calculation with PBE was carried out for crystalline TmSi3Tc2 at its relaxed geometry.

Total moment   0.00 μB/f.u.
Formation energy from raw total energies   -12.53 kcal/mol of atoms
Energy   -7.46 eV per atom

a = 5.8387 Å, b = 5.8387 Å, c = 5.8540 Å
α = 90.00°, β = 90.00°, γ = 76.35°
Last column: nearest neighbours and their distance in Å.
Element x y z (fractional)
Tm 0.1520 0.8480 0.7500  3 Si 2.79-2.98
Tm 0.8480 0.1520 0.2500  3 Si 2.79-2.98
Si 0.0504 0.6324 0.2500  1 Si 2.34, 4 Tc 2.41-2.61
Si 0.3676 0.9496 0.2500  1 Si 2.34, 4 Tc 2.41-2.61
Si 0.4621 0.5379 0.2500  2 Si 2.34, 4 Tc 2.46
Si 0.5379 0.4621 0.7500  2 Si 2.34, 4 Tc 2.46
Si 0.6324 0.0504 0.7500  1 Si 2.34, 4 Tc 2.41-2.61
Si 0.9496 0.3676 0.7500  1 Si 2.34, 4 Tc 2.41-2.61
Tc 0.2871 0.2871 0.0000  6 Si 2.41-2.61
Tc 0.2871 0.2871 0.5000  6 Si 2.41-2.61
Tc 0.7129 0.7129 0.0000  6 Si 2.41-2.61
Tc 0.7129 0.7129 0.5000  6 Si 2.41-2.61

***

What did the third record say?
A plane-wave DFT calculation with PBE was carried out for crystalline TmSiTc at its relaxed geometry.

Excess energy over the best structure of this formula in the dataset   0 meV/atom
Total moment   0.00 μB/f.u.
Formation energy from raw total energies   -14.98 kcal/mol of atoms
Energy   -7.40 eV per atom

a = 7.1791 Å, b = 3.5894 Å, c = 12.3890 Å
α = 90.00°, β = 90.35°, γ = 90.00°
Last column: nearest neighbours and their distance in Å.
Element x y z (fractional)
Tm 0.0337 0.2500 0.1204  5 Si 2.81-3.03, 4 Tc 3.05-3.14
Tm 0.1420 0.2500 0.4142  5 Si 2.82-2.93, 4 Tc 3.04-3.06
Tm 0.4627 0.7500 0.7813  5 Si 2.79-2.83, 6 Tc 3.06-3.09
Tm 0.5373 0.2500 0.2187  5 Si 2.79-2.83, 6 Tc 3.06-3.09
Tm 0.8580 0.7500 0.5858  5 Si 2.82-2.93, 4 Tc 3.04-3.06
Tm 0.9663 0.7500 0.8796  5 Si 2.81-3.03, 4 Tc 3.05-3.14
Si 0.2387 0.7500 0.2484  3 Tc 2.70-2.75, 6 Tm 2.81-2.82
Si 0.2663 0.7500 0.5865  5 Tc 2.52-2.62, 1 Tm 2.79
Si 0.2745 0.2500 0.9200  3 Tc 2.45-2.61
Si 0.7255 0.7500 0.0800  3 Tc 2.45-2.61
Si 0.7337 0.2500 0.4135  5 Tc 2.52-2.62, 1 Tm 2.79
Si 0.7613 0.2500 0.7516  3 Tc 2.70-2.75, 6 Tm 2.81-2.82
Tc 0.1353 0.2500 0.7067  4 Si 2.52-2.82
Tc 0.3667 0.7500 0.0440  4 Si 2.45-2.70
Tc 0.4830 0.7500 0.4169  4 Si 2.54-2.72, 2 Tc 2.74
Tc 0.5170 0.2500 0.5831  4 Si 2.54-2.72, 2 Tc 2.74
Tc 0.6333 0.2500 0.9560  4 Si 2.45-2.70
Tc 0.8647 0.7500 0.2933  4 Si 2.52-2.82

***

Please write out number 4 again, unchanged.
A plane-wave DFT calculation with PBE was carried out for crystalline TmSi4Tc4 at its relaxed geometry.

Total moment   0.00 μB/f.u.
Formation energy from raw total energies   -10.77 kcal/mol of atoms
Energy   -7.98 eV per atom

a = 8.0214 Å, b = 8.0214 Å, c = 4.7160 Å
α = 90.00°, β = 90.00°, γ = 90.00°
Last column: nearest neighbours and their distance in Å.
Element x y z (fractional)
Tm 0.2500 0.2500 0.2500  8 Si 3.13-3.43, 4 Tc 3.16
Tm 0.7500 0.7500 0.7500  8 Si 3.13-3.43, 4 Tc 3.16
Si 0.0632 0.9115 0.1626  1 Si 2.32, 5 Tc 2.39-2.49
Si 0.0885 0.5632 0.6626  1 Si 2.32, 5 Tc 2.39-2.49
Si 0.4115 0.9368 0.6626  1 Si 2.32, 5 Tc 2.39-2.49
Si 0.4368 0.5885 0.1626  1 Si 2.32, 5 Tc 2.39-2.49
Si 0.5632 0.4115 0.8374  1 Si 2.32, 5 Tc 2.39-2.49
Si 0.5885 0.0632 0.3374  1 Si 2.32, 5 Tc 2.39-2.49
Si 0.9115 0.4368 0.3374  1 Si 2.32, 5 Tc 2.39-2.49
Si 0.9368 0.0885 0.8374  1 Si 2.32, 5 Tc 2.39-2.49
Tc 0.1204 0.8722 0.6556  5 Si 2.39-2.49
Tc 0.1278 0.6204 0.1556  5 Si 2.39-2.49
Tc 0.3722 0.8796 0.1556  5 Si 2.39-2.49
Tc 0.3796 0.6278 0.6556  5 Si 2.39-2.49
Tc 0.6204 0.3722 0.3444  5 Si 2.39-2.49
Tc 0.6278 0.1204 0.8444  5 Si 2.39-2.49
Tc 0.8722 0.3796 0.8444  5 Si 2.39-2.49
Tc 0.8796 0.1278 0.3444  5 Si 2.39-2.49

***

> What is the total moment in the third record?

0.00 μB/f.u.

***

> Look up the total moment of the ninth one.

0.00 μB/f.u.